a:
6
Lattice="-4.038 2.419 3.765 2.305 -3.222 4.543 2.334 2.728 0.751" Properties=species:S:1:pos:R:3 comment="Nd2O, relaxed, DFT GGA-PBE" magmom_total_mub_per_fu=0.02 pbc="T T T"
Nd -1.233 -0.572 5.911
Nd -0.500 -0.232 2.397
Nd -1.530 2.590 4.305
Nd 2.131 -0.665 4.754
O 0.000 0.000 0.000
O 0.300 0.962 4.529

b:
6
Lattice="-5.568 3.757 3.464 1.640 5.305 5.127 -1.199 7.291 -1.590" Properties=species:S:1:pos:R:3 comment="Nd2O, relaxed, DFT GGA-PBE" magmom_total_mub_per_fu=2.37 pbc="T T T"
Nd -1.923 6.133 2.625
Nd -2.522 9.778 1.830
Nd -4.707 8.011 4.357
Nd -1.103 8.785 5.188
O -2.563 8.177 3.500
O -1.282 4.088 1.750

Unit: kJ/mol of atoms. Relative energies: a 0.0; b 86.3.

a:
8
Lattice="4.332 0.000 0.000 0.000 4.189 0.000 0.000 0.000 7.037" Properties=species:S:1:pos:R:3 comment="NdPOsO, relaxed, DFT GGA-PBE" magmom_total_mub_per_fu=0.01 pbc="T T T"
Nd 2.166 1.003 0.709
Nd 2.166 3.187 4.227
Os 0.000 1.116 3.092
Os 0.000 3.073 6.611
P 0.000 3.201 1.944
P 0.000 0.989 5.462
O 2.166 1.097 3.080
O 2.166 3.092 6.598

b:
8
Lattice="-0.342 2.694 -3.370 -2.547 -2.855 -2.024 -5.473 2.865 2.845" Properties=species:S:1:pos:R:3 comment="NdPOsO, relaxed, DFT GGA-PBE" magmom_total_mub_per_fu=0.00 pbc="T T T"
Os -1.960 -1.068 -0.655
Os -4.957 3.853 0.803
O -1.444 -0.080 -2.697
O 0.000 0.000 0.000
Nd -2.736 1.433 1.423
Nd -4.181 1.352 -1.274
P -5.585 0.830 1.230
P -1.332 1.955 -1.082

c:
8
Lattice="-3.303 1.699 1.590 -2.083 -3.389 -0.704 2.126 -2.858 7.468" Properties=species:S:1:pos:R:3 comment="NdPOsO, relaxed, DFT GGA-PBE" magmom_total_mub_per_fu=0.00 pbc="T T T"
O -2.693 -0.845 0.443
O 0.000 0.000 0.000
Nd -0.740 -2.101 0.709
Nd 0.172 -1.602 7.202
Os 1.063 -1.429 3.734
Os -1.630 -2.274 4.177
P 0.331 -3.541 4.471
P -0.899 -0.162 3.440

d:
8
Lattice="-2.321 0.460 2.253 -5.264 -2.924 -4.827 0.918 -4.850 1.937" Properties=species:S:1:pos:R:3 comment="NdPOsO, relaxed, DFT GGA-PBE" magmom_total_mub_per_fu=0.00 pbc="T T T"
Os -1.888 -2.853 1.007
Os -4.321 -6.884 -0.676
O -0.480 -3.435 2.577
O -6.179 -3.921 -3.197
P -1.795 -3.676 -1.098
P -2.093 -6.521 -0.824
Nd -0.949 -0.527 -0.870
Nd -3.856 -4.821 -2.988

Unit: kJ/mol of atoms. Relative energies: a 58.2; b 195.5; c 0.0; d 73.8.

a:
8
Lattice="4.396 0.000 0.000 0.000 4.396 0.000 0.000 0.000 9.019" Properties=species:S:1:pos:R:3 comment="PmNdPO, relaxed, DFT GGA-PBE" magmom_total_mub_per_fu=0.00 pbc="T T T"
O 2.198 2.198 0.000
O 0.000 0.000 0.000
P 0.000 2.198 6.337
P 2.198 0.000 2.683
Nd 0.000 0.000 4.510
Nd 2.198 2.198 4.510
Pm 2.198 0.000 8.082
Pm 0.000 2.198 0.938

b:
8
Lattice="4.405 0.000 0.000 0.000 4.405 0.000 0.000 0.000 9.038" Properties=species:S:1:pos:R:3 comment="PmNdPO, relaxed, DFT GGA-PBE" magmom_total_mub_per_fu=0.00 pbc="T T T"
O 0.000 0.000 0.000
O 2.202 2.202 0.000
Pm 2.202 2.202 4.519
Pm 0.000 0.000 4.519
P 0.000 2.202 6.302
P 2.202 0.000 2.736
Nd 2.202 0.000 8.065
Nd 0.000 2.202 0.972

Unit: kJ/mol of atoms. Relative energies: a 2.1; b 0.0.

a:
8
Lattice="4.217 0.000 0.000 0.000 4.217 0.000 0.000 0.000 10.835" Properties=species:S:1:pos:R:3 comment="RbNdPO, relaxed, DFT GGA-PBE" magmom_total_mub_per_fu=0.06 pbc="T T T"
P 2.109 2.109 2.922
P 0.000 0.000 7.913
O 0.000 2.109 0.000
O 2.109 0.000 0.000
Nd 0.000 0.000 1.079
Nd 2.109 2.109 9.756
Rb 0.000 2.109 5.418
Rb 2.109 0.000 5.418

b:
8
Lattice="-2.303 5.501 0.579 0.447 0.811 -5.920 -4.807 -1.946 -0.629" Properties=species:S:1:pos:R:3 comment="RbNdPO, relaxed, DFT GGA-PBE" magmom_total_mub_per_fu=0.00 pbc="T T T"
Rb -0.481 1.571 -1.337
Rb -6.183 2.794 -4.633
O -0.241 1.983 -4.295
O -1.616 4.329 -1.046
Nd -4.019 3.356 -1.360
Nd -2.644 1.010 -4.610
P -2.886 0.598 -1.652
P -3.778 3.768 -4.318

c:
8
Lattice="-2.661 2.032 3.700 0.933 -6.627 4.311 5.698 2.555 2.695" Properties=species:S:1:pos:R:3 comment="RbNdPO, relaxed, DFT GGA-PBE" magmom_total_mub_per_fu=1.00 pbc="T T T"
O 4.848 1.576 2.622
O 2.774 -5.203 4.853
P 1.479 0.130 4.358
P 4.693 -1.182 7.389
Nd 3.093 0.385 2.013
Nd 0.912 -5.634 3.751
Rb 4.363 1.636 5.605
Rb 1.935 -2.631 6.202

Unit: kJ/mol of atoms. Relative energies: a 7.5; b 36.8; c 0.0.

a:
8
Lattice="-1.792 -1.691 3.879 -3.903 -3.598 -3.372 4.351 -4.689 -0.034" Properties=species:S:1:pos:R:3 comment="NdSnPO, relaxed, DFT GGA-PBE" magmom_total_mub_per_fu=0.00 pbc="T T T"
O 0.457 -3.283 -1.220
O 1.521 -6.652 -2.197
P -2.651 -5.336 -0.829
P 2.005 -5.394 1.297
Sn 0.201 -7.965 -0.657
Sn 0.062 -3.745 1.118
Nd -0.963 -1.435 -1.070
Nd -0.217 -5.097 -2.323

b:
8
Lattice="-3.180 -2.273 -1.550 2.215 -0.710 -3.504 3.775 -8.013 4.009" Properties=species:S:1:pos:R:3 comment="NdSnPO, relaxed, DFT GGA-PBE" magmom_total_mub_per_fu=0.02 pbc="T T T"
O 0.000 0.000 0.000
O -0.483 -1.492 -2.527
P 3.811 -6.094 1.119
P -0.519 -3.410 0.363
Sn 1.887 -4.007 2.004
Sn 1.405 -5.498 -0.522
Nd 1.762 -8.252 2.785
Nd 1.530 -1.253 -1.303

Unit: kJ/mol of atoms. Relative energies: a 11.3; b 0.0.

a:
8
Lattice="4.191 -4.191 0.000 4.191 4.191 0.000 0.000 0.000 4.982" Properties=species:S:1:pos:R:3 comment="NdTlPO, relaxed, DFT GGA-PBE" magmom_total_mub_per_fu=0.00 pbc="T T T"
P 2.096 0.000 2.540
P 6.287 0.000 2.442
O 4.191 2.096 0.000
O 4.191 -2.096 0.000
Nd 4.191 -2.096 2.491
Nd 4.191 2.096 2.491
Tl 2.096 0.000 0.046
Tl 6.287 0.000 4.937

b:
8
Lattice="-3.569 -0.204 2.343 0.552 -4.212 0.474 5.077 1.551 7.868" Properties=species:S:1:pos:R:3 comment="NdTlPO, relaxed, DFT GGA-PBE" magmom_total_mub_per_fu=0.27 pbc="T T T"
Nd -0.179 -0.928 1.596
Nd 2.239 -1.937 9.090
P 2.873 0.004 6.326
P -0.813 -2.869 4.360
O -0.479 -3.210 0.941
O -2.539 -1.206 1.876
Tl 2.060 -2.435 4.876
Tl 0.000 -0.431 5.810

Unit: kJ/mol of atoms. Relative energies: a 16.5; b 0.0.

a:
8
Lattice="4.300 0.000 0.000 0.000 4.300 0.000 0.000 0.000 8.743" Properties=species:S:1:pos:R:3 comment="NdTmPO, relaxed, DFT GGA-PBE" magmom_total_mub_per_fu=0.04 pbc="T T T"
O 0.000 0.000 0.000
O 2.150 2.150 0.000
P 2.150 0.000 2.503
P 0.000 2.150 6.240
Tm 0.000 2.150 0.794
Tm 2.150 0.000 7.949
Nd 0.000 0.000 4.371
Nd 2.150 2.150 4.371

b:
8
Lattice="4.347 0.000 0.000 0.000 4.347 0.000 0.000 0.000 8.803" Properties=species:S:1:pos:R:3 comment="NdTmPO, relaxed, DFT GGA-PBE" magmom_total_mub_per_fu=0.00 pbc="T T T"
O 2.174 2.174 0.000
O 0.000 0.000 0.000
P 2.174 0.000 2.784
P 0.000 2.174 6.019
Tm 2.174 2.174 4.402
Tm 0.000 0.000 4.402
Nd 0.000 2.174 1.008
Nd 2.174 0.000 7.795

c:
8
Lattice="4.170 0.000 0.000 0.000 7.666 0.000 0.000 0.000 5.436" Properties=species:S:1:pos:R:3 comment="NdTmPO, relaxed, DFT GGA-PBE" magmom_total_mub_per_fu=0.02 pbc="T T T"
Nd 2.085 6.630 5.122
Nd 2.085 1.036 2.404
O 2.085 1.379 5.083
O 2.085 6.287 2.365
P 0.000 4.913 5.101
P 0.000 2.753 2.383
Tm 0.000 5.422 2.384
Tm 0.000 2.245 5.102

Unit: kJ/mol of atoms. Relative energies: a 17.8; b 1.9; c 0.0.

a:
8
Lattice="-1.211 3.458 2.146 2.963 -2.960 6.441 4.846 2.397 -1.128" Properties=species:S:1:pos:R:3 comment="NdYPO, relaxed, DFT GGA-PBE" magmom_total_mub_per_fu=0.00 pbc="T T T"
Nd 6.599 1.459 5.573
Nd 2.006 2.428 1.419
Y 4.217 -1.035 4.048
Y 5.423 1.378 0.839
O 4.380 3.412 1.173
O 3.872 0.301 5.900
P 6.458 0.332 3.108
P 3.166 0.003 1.782

b:
8
Lattice="-1.320 2.189 -3.575 -4.156 -1.178 0.814 -1.107 7.258 4.853" Properties=species:S:1:pos:R:3 comment="NdYPO, relaxed, DFT GGA-PBE" magmom_total_mub_per_fu=0.00 pbc="T T T"
O 0.000 0.000 0.000
O -2.738 0.506 -1.381
Nd -2.201 0.220 0.947
Nd -1.644 7.545 2.525
Y -3.291 4.135 1.046
Y -0.553 3.629 2.427
P -2.840 4.408 3.748
P -1.005 3.356 -0.275

c:
8
Lattice="4.348 0.000 0.000 0.000 4.348 0.000 0.000 0.000 8.833" Properties=species:S:1:pos:R:3 comment="NdYPO, relaxed, DFT GGA-PBE" magmom_total_mub_per_fu=0.00 pbc="T T T"
P 2.174 0.000 2.573
P 0.000 2.174 6.260
O 0.000 0.000 0.000
O 2.174 2.174 0.000
Y 2.174 0.000 7.990
Y 0.000 2.174 0.843
Nd 2.174 2.174 4.416
Nd 0.000 0.000 4.416

Unit: kJ/mol of atoms. Relative energies: a 0.0; b 3.6; c 16.9.

a:
14
Lattice="4.631 -4.631 0.000 -4.631 0.000 -4.631 4.631 4.631 0.000" Properties=species:S:1:pos:R:3 comment="NdPd2O4, relaxed, DFT GGA-PBE" magmom_total_mub_per_fu=3.01 pbc="T T T"
Pd 3.473 1.158 -1.158
Pd 1.158 1.158 -3.473
Pd -1.158 -1.158 -3.473
Pd 5.789 -1.158 -1.158
O 3.613 -1.016 -1.016
O 5.649 1.016 -1.016
O 1.298 3.332 -3.332
O 1.018 -1.016 -3.614
O 3.333 3.332 -1.299
O 3.333 1.299 -3.332
O -1.018 1.016 -3.614
O 1.298 1.299 -1.299
Nd 0.000 0.000 0.000
Nd 2.316 -2.315 -2.315

b:
14
Lattice="-5.809 0.954 2.923 -0.495 -6.225 -2.050 4.739 1.315 3.166" Properties=species:S:1:pos:R:3 comment="NdPd2O4, relaxed, DFT GGA-PBE" magmom_total_mub_per_fu=0.15 pbc="T T T"
Pd -3.152 -2.635 0.436
Pd -0.782 -1.978 2.019
Pd -0.247 -3.112 -1.025
Pd -0.535 1.134 3.045
O -1.341 -3.835 2.558
O 0.637 -2.588 0.708
O -2.201 -1.368 3.330
O -2.696 -4.559 -0.007
O -4.492 -3.436 1.706
O 2.927 -0.520 2.332
O 1.131 0.603 4.046
O -0.224 -0.121 1.481
Nd -3.959 0.385 3.092
Nd 2.395 -4.341 0.946

Unit: kJ/mol of atoms. Relative energies: a 40.0; b 0.0.